## LaMgMoP2 (PBE)

Data for a relaxed structure of LaMgMoP2.

abc: 4.7918 4.7918 5.3410
angles: 90.00 90.00 90.00
With the nearest neighbours (Å) after each atom.
Element x y z (fractional)
La  0.0000  0.0000  0.0000  2 Mo 2.67
Mg  0.5000  0.5000  0.0000  4 La 3.39, 8 P 3.59
Mo  0.0000  0.0000  0.5000  4 P 2.40, 2 La 2.67
P  0.0000  0.5000  0.5000  2 Mo 2.40
P  0.5000  0.0000  0.5000  2 Mo 2.40

## Properties
Calculated total energy = -27.71 eV for the cell shown
Space group = P4/mmm (123)
Density = 4348 kg/m3
Formation enthalpy at 0 K = 0.5 eV per formula unit
Crystal system = tetragonal